Record 1
This record from Alexandria describes an optimized crystal structure of Tb3Sc3In2Co. The functional is PBE.

Unit cell a=8.3490 b=8.3490 c=3.7365 alpha=90.00 beta=90.00 gamma=120.00
Closest atoms and distances in Å follow each position.
Space group P-62m (No. 189)
Inequivalent atoms, fractional coordinates:
Tb 0.0000 0.3915 0.0000  4 In 3.18, 1 Co 3.27, 4 Sc 3.40
Sc 0.0000 0.7747 0.5000  2 Co 2.65
In 0.3333 0.6667 0.5000  6 Tb 3.18, 3 Sc 3.33
Co 0.0000 0.0000 0.0000  6 Sc 2.65

DFT formation energy = -0.312 eV per atom
V = 225.56 Å³ per cell
magnetic moment = 0.0 μB/f.u.

Record 2
This record from Alexandria describes an optimized crystal structure of TbScInCo. The functional is PBE.

Unit cell a=7.0012 b=7.0012 c=7.0012 alpha=90.00 beta=90.00 gamma=90.00
Closest atoms and distances in Å follow each position.
Space group F-43m (No. 216)
Inequivalent atoms, fractional coordinates:
Tb 0.0000 0.0000 0.0000  4 In 3.03, 4 Co 3.03
Sc 0.0000 0.0000 0.5000  4 In 3.03, 4 Co 3.03
In 0.2500 0.2500 0.2500  4 Tb 3.03, 4 Sc 3.03
Co 0.2500 0.2500 0.7500  4 Tb 3.03, 4 Sc 3.03

DFT formation energy = -0.206 eV per atom
V = 343.18 Å³ per cell
magnetic moment = 1.1 μB/f.u.

Record 3
This record from Alexandria describes an optimized crystal structure of ScTiInCo. The functional is PBE.

Unit cell a=3.1199 b=3.1199 c=7.2266 alpha=90.00 beta=90.00 gamma=90.00
Closest atoms and distances in Å follow each position.
Space group P4mm (No. 99)
Inequivalent atoms, fractional coordinates:
Sc 0.0000 0.0000 0.0000  4 Co 2.85, 1 Ti 2.97, 4 Sc 3.12, 4 In 3.14
Ti 0.0000 0.0000 0.5894  4 Co 2.50
In 0.5000 0.5000 0.3086  4 Ti 3.00, 4 In 3.12, 4 Sc 3.14, 1 Co 3.20
Co 0.5000 0.5000 0.7509  4 Ti 2.50

DFT formation energy = -0.314 eV per atom
V = 70.34 Å³ per cell
magnetic moment = 0.0 μB/f.u.

Record 4
This record from Alexandria describes an optimized crystal structure of Sc5TlIn2Co2. The functional is PBE.

Unit cell a=11.2425 b=11.2425 c=3.2824 alpha=90.00 beta=90.00 gamma=90.00
Closest atoms and distances in Å follow each position.
Space group P4/mbm (No. 127)
Inequivalent atoms, fractional coordinates:
Sc 0.0000 0.5000 0.0000  4 Co 2.60
Sc 0.0759 0.2151 0.0000  2 Co 2.49
Tl 0.0000 0.0000 0.5000  8 Sc 3.04, 2 Tl 3.28
In 0.1721 0.6721 0.5000  10 Sc 3.19-3.48, 3 Co 3.20-3.39, 2 In 3.28
Co 0.1265 0.3735 0.5000  6 Sc 2.49-2.60

DFT formation energy = -0.334 eV per atom
V = 414.88 Å³ per cell
magnetic moment = 0.0 μB/f.u.

Record 5
This record from Alexandria describes an optimized crystal structure of Tm3Sc3In2Co. The functional is PBE.

Unit cell a=8.2996 b=8.2996 c=3.6632 alpha=90.00 beta=90.00 gamma=120.00
Closest atoms and distances in Å follow each position.
Space group P-62m (No. 189)
Inequivalent atoms, fractional coordinates:
Tm 0.0000 0.6128 0.0000  4 In 3.16, 1 Co 3.21, 4 Sc 3.34
Sc 0.0000 0.2287 0.5000  2 Co 2.64
In 0.3333 0.6667 0.5000  6 Tm 3.16, 3 Sc 3.29
Co 0.0000 0.0000 0.0000  6 Sc 2.64

DFT formation energy = -0.320 eV per atom
V = 218.53 Å³ per cell
magnetic moment = 0.0 μB/f.u.

Record 6
This record from Alexandria describes an optimized crystal structure of Y3Sc3In2Co. The functional is PBE.

Unit cell a=8.3478 b=8.3478 c=3.7303 alpha=90.00 beta=90.00 gamma=120.00
Closest atoms and distances in Å follow each position.
Space group P-62m (No. 189)
Inequivalent atoms, fractional coordinates:
Y 0.0000 0.6076 0.0000  4 In 3.18, 1 Co 3.28, 4 Sc 3.40
Sc 0.0000 0.2247 0.5000  2 Co 2.65
In 0.3333 0.6667 0.5000  6 Y 3.18, 3 Sc 3.33
Co 0.0000 0.0000 0.0000  6 Sc 2.65

DFT formation energy = -0.337 eV per atom
V = 225.12 Å³ per cell
magnetic moment = 0.0 μB/f.u.